Entry 1:
LaCe2Sb2Pd2 | GGA-PBE | optimized geometry

Properties
The calculation puts the final energy at -5.93 eV/atom. As for the uncorrected formation energy: -0.874 eV/atom. The density of states at the Fermi level is 12.57 states/eV/f.u. The calculation puts the density at 8.4 g/cm3. For the spin magnetization, the calculation gives 5.82 μB/cell.

Geometry as CIF:
```
data_LaCe2Sb2Pd2
_chemical_formula_sum 'La3 Ce6 Sb6 Pd6'
_space_group_name_H-M_alt 'R -3 m'
_space_group_IT_number 166
_space_group_name_Hall '-R 3 2"'
_cell_length_a 4.6729
_cell_length_b 4.6729
_cell_length_c 27.5120
_cell_angle_alpha 90.00
_cell_angle_beta 90.00
_cell_angle_gamma 120.00
loop_
_atom_site_label
_atom_site_fract_x
_atom_site_fract_y
_atom_site_fract_z
La1 0.0000 0.0000 0.0000
Ce1 0.0000 0.0000 0.1428
Sb1 0.0000 0.0000 0.2641
Pd1 0.0000 0.0000 0.4354
```

---

Entry 2:
La2CeSb3Pd4 | GGA-PBE | optimized geometry

Properties
The calculation puts the final energy at -5.80 eV/atom. As for the uncorrected formation energy: -0.912 eV/atom. The density of states at the Fermi level is 9.34 states/eV/f.u. The calculation puts the density at 8.3 g/cm3. For the spin magnetization, the calculation gives 0.89 μB/cell.

Geometry as CIF:
```
data_La2CeSb3Pd4
_chemical_formula_sum 'La2 Ce1 Sb3 Pd4'
_space_group_name_H-M_alt 'P -4 m 2'
_space_group_IT_number 115
_space_group_name_Hall 'P -4 -2'
_cell_length_a 4.5908
_cell_length_b 4.5908
_cell_length_c 11.5398
_cell_angle_alpha 90.00
_cell_angle_beta 90.00
_cell_angle_gamma 90.00
loop_
_atom_site_label
_atom_site_fract_x
_atom_site_fract_y
_atom_site_fract_z
La1 0.0000 0.5000 0.2093
Ce1 0.0000 0.0000 0.5000
Sb1 0.0000 0.5000 0.8721
Sb2 0.5000 0.5000 0.5000
Pd1 0.0000 0.0000 0.0000
Pd2 0.0000 0.5000 0.6458
Pd3 0.5000 0.5000 0.0000
```